No. 1
# PBE BeGaIr2, optimized geometry
# - size of the total moment (μB per formula unit) = 0.00
# - final energy (eV per cell) = -25.6
# - ρ (g/cm³) = 14.54
# - relative energy among the computed polymorphs (eV per atom) = 0.195
# - formation energy (eV/atom) = -0.291
# - N(E_F) (states/eV per atom) = 0.39
data_BeGaIr2
_chemical_formula_sum 'Be1 Ga1 Ir2'
_cell_length_a 2.850
_cell_length_b 2.850
_cell_length_c 7.696
_cell_angle_alpha 79.33
_cell_angle_beta 79.33
_cell_angle_gamma 60.00
_space_group_name_H-M_alt 'P 1'
_space_group_IT_number 1
loop_
_space_group_symop_operation_xyz
'x,y,z'
loop_
_atom_site_label
_atom_site_type_symbol
_atom_site_fract_x
_atom_site_fract_y
_atom_site_fract_z
Be1 Be 0.667 0.667 0.000
Ga1 Ga 0.500 0.500 0.500
Ir1 Ir 0.077 0.077 0.768
Ir2 Ir 0.256 0.256 0.232

---

No. 2
# PBE NiICl2, optimized geometry
# - size of the total moment (μB per formula unit) = 0.00
# - final energy (eV per cell) = -22.2
# - ρ (g/cm³) = 3.71
# - relative energy among the computed polymorphs (eV per atom) = 0.338
# - energy relative to the elements, uncorrected (eV per atom) = -0.023
# - N(E_F) (states/eV per atom) = 4.10
data_NiICl2
_chemical_formula_sum 'Ni2 I2 Cl4'
_cell_length_a 6.858
_cell_length_b 6.858
_cell_length_c 6.883
_cell_angle_alpha 60.12
_cell_angle_beta 60.12
_cell_angle_gamma 90.00
_space_group_name_H-M_alt 'P 1'
_space_group_IT_number 1
loop_
_space_group_symop_operation_xyz
'x,y,z'
loop_
_atom_site_label
_atom_site_type_symbol
_atom_site_fract_x
_atom_site_fract_y
_atom_site_fract_z
I1 I 0.000 0.000 0.000
I2 I 0.750 0.250 0.500
Ni1 Ni 0.500 0.500 0.000
Ni2 Ni 0.250 0.750 0.500
Cl1 Cl 0.457 0.125 0.250
Cl2 Cl 0.293 0.625 0.250
Cl3 Cl 0.375 0.543 0.750
Cl4 Cl 0.875 0.707 0.750

---

No. 3
# PBE LaAuS2, optimized geometry
# - size of the total moment (μB per formula unit) = 0.00
# - final energy (eV per cell) = -21.5
# - ρ (g/cm³) = 6.57
# - relative energy among the computed polymorphs (eV per atom) = 0.134
# - energy relative to the elements, uncorrected (eV per atom) = -1.264
# - N(E_F) (states/eV per atom) = 0.00
data_LaAuS2
_chemical_formula_sum 'La1 Au1 S2'
_cell_length_a 4.287
_cell_length_b 4.287
_cell_length_c 6.351
_cell_angle_alpha 90.00
_cell_angle_beta 90.00
_cell_angle_gamma 120.00
_space_group_name_H-M_alt 'P 1'
_space_group_IT_number 1
loop_
_space_group_symop_operation_xyz
'x,y,z'
loop_
_atom_site_label
_atom_site_type_symbol
_atom_site_fract_x
_atom_site_fract_y
_atom_site_fract_z
S1 S 0.333 0.667 0.788
S2 S 0.667 0.333 0.268
Au1 Au 0.333 0.667 0.391
La1 La 0.000 0.000 0.008

---

No. 4
# PBE CaPr2MgTl4, optimized geometry
# - size of the total moment (μB per formula unit) = 0.00
# - final energy (eV per cell) = -25.2
# - ρ (g/cm³) = 8.39
# - formation energy (eV/atom) = -0.328
# - N(E_F) (states/eV per atom) = 0.66
data_CaPr2MgTl4
_chemical_formula_sum 'Ca1 Pr2 Mg1 Tl4'
_cell_length_a 5.411
_cell_length_b 5.411
_cell_length_c 9.605
_cell_angle_alpha 73.64
_cell_angle_beta 73.64
_cell_angle_gamma 60.00
_space_group_name_H-M_alt 'P 1'
_space_group_IT_number 1
loop_
_space_group_symop_operation_xyz
'x,y,z'
loop_
_atom_site_label
_atom_site_type_symbol
_atom_site_fract_x
_atom_site_fract_y
_atom_site_fract_z
Ca1 Ca 0.000 0.000 0.000
Pr1 Pr 0.757 0.757 0.730
Pr2 Pr 0.243 0.243 0.270
Mg1 Mg 0.500 0.500 0.500
Tl1 Tl 0.374 0.374 0.878
Tl2 Tl 0.876 0.876 0.372
Tl3 Tl 0.124 0.124 0.628
Tl4 Tl 0.626 0.626 0.122

---

No. 5
# PBE GeSb2TeI, optimized geometry
# - size of the total moment (μB per formula unit) = 0.00
# - final energy (eV per cell) = -14.8
# - ρ (g/cm³) = 5.78
# - relative energy among the computed polymorphs (eV per atom) = 0.019
# - energy relative to the elements, uncorrected (eV per atom) = 0.560
# - N(E_F) (states/eV per atom) = 1.05
data_GeSb2TeI
_chemical_formula_sum 'Ge1 Sb2 Te1 I1'
_cell_length_a 5.527
_cell_length_b 5.527
_cell_length_c 5.367
_cell_angle_alpha 90.00
_cell_angle_beta 90.00
_cell_angle_gamma 90.00
_space_group_name_H-M_alt 'P 1'
_space_group_IT_number 1
loop_
_space_group_symop_operation_xyz
'x,y,z'
loop_
_atom_site_label
_atom_site_type_symbol
_atom_site_fract_x
_atom_site_fract_y
_atom_site_fract_z
I1 I 0.000 0.000 0.500
Sb1 Sb 0.000 0.500 0.000
Sb2 Sb 0.500 0.000 0.000
Ge1 Ge 0.000 0.000 0.000
Te1 Te 0.500 0.500 0.500

---

No. 6
# PBE TbIn3Cl6, optimized geometry
# - size of the total moment (μB per formula unit) = 0.00
# - final energy (eV per cell) = -76.3
# - ρ (g/cm³) = 3.58
# - energy relative to the elements, uncorrected (eV per atom) = -1.421
# - N(E_F) (states/eV per atom) = 0.00
data_TbIn3Cl6
_chemical_formula_sum 'Tb2 In6 Cl12'
_cell_length_a 7.324
_cell_length_b 8.376
_cell_length_c 10.852
_cell_angle_alpha 90.00
_cell_angle_beta 86.36
_cell_angle_gamma 90.00
_space_group_name_H-M_alt 'P 1'
_space_group_IT_number 1
loop_
_space_group_symop_operation_xyz
'x,y,z'
loop_
_atom_site_label
_atom_site_type_symbol
_atom_site_fract_x
_atom_site_fract_y
_atom_site_fract_z
Tb1 Tb 0.500 0.500 0.500
Tb2 Tb 0.000 0.000 0.000
In1 In 0.526 0.928 0.773
In2 In 0.500 0.500 0.000
In3 In 0.474 0.072 0.227
In4 In 0.026 0.572 0.273
In5 In 0.000 0.000 0.500
In6 In 0.974 0.428 0.727
Cl1 Cl 0.692 0.160 0.965
Cl2 Cl 0.660 0.239 0.583
Cl3 Cl 0.632 0.429 0.271
Cl4 Cl 0.368 0.571 0.729
Cl5 Cl 0.340 0.761 0.417
Cl6 Cl 0.308 0.840 0.035
Cl7 Cl 0.192 0.340 0.465
Cl8 Cl 0.160 0.261 0.083
Cl9 Cl 0.132 0.071 0.771
Cl10 Cl 0.868 0.929 0.229
Cl11 Cl 0.840 0.739 0.917
Cl12 Cl 0.808 0.660 0.535

---

No. 7
# PBE CdAsPH, optimized geometry
# - size of the total moment (μB per formula unit) = 0.00
# - final energy (eV per cell) = -13.8
# - ρ (g/cm³) = 4.41
# - relative energy among the computed polymorphs (eV per atom) = 0.073
# - N(E_F) (states/eV per atom) = 0.30
data_CdAsPH
_chemical_formula_sum 'Cd1 As1 P1 H1'
_cell_length_a 3.875
_cell_length_b 4.505
_cell_length_c 5.632
_cell_angle_alpha 109.19
_cell_angle_beta 89.95
_cell_angle_gamma 115.53
_space_group_name_H-M_alt 'P 1'
_space_group_IT_number 1
loop_
_space_group_symop_operation_xyz
'x,y,z'
loop_
_atom_site_label
_atom_site_type_symbol
_atom_site_fract_x
_atom_site_fract_y
_atom_site_fract_z
Cd1 Cd 0.199 0.335 0.953
As1 As 0.736 0.407 0.377
P1 P 0.859 0.655 0.805
H1 H 0.542 0.019 0.363

---

No. 8
# PBE KSiSb2, optimized geometry
# - size of the total moment (μB per formula unit) = 0.00
# - final energy (eV per cell) = -14.5
# - ρ (g/cm³) = 4.15
# - energy relative to the elements, uncorrected (eV per atom) = 0.071
# - N(E_F) (states/eV per atom) = 0.45
data_KSiSb2
_chemical_formula_sum 'K1 Si1 Sb2'
_cell_length_a 5.275
_cell_length_b 5.275
_cell_length_c 6.640
_cell_angle_alpha 74.21
_cell_angle_beta 74.21
_cell_angle_gamma 44.82
_space_group_name_H-M_alt 'P 1'
_space_group_IT_number 1
loop_
_space_group_symop_operation_xyz
'x,y,z'
loop_
_atom_site_label
_atom_site_type_symbol
_atom_site_fract_x
_atom_site_fract_y
_atom_site_fract_z
K1 K 0.750 0.750 0.750
Sb1 Sb 0.964 0.964 0.106
Sb2 Sb 0.536 0.536 0.394
Si1 Si 0.250 0.250 0.250

---

No. 9
# PBE Ce2OsI2, optimized geometry
# - size of the total moment (μB per formula unit) = 0.99
# - final energy (eV per cell) = -30.2
# - ρ (g/cm³) = 6.87
# - energy relative to the elements, uncorrected (eV per atom) = -0.792
# - N(E_F) (states/eV per atom) = 1.82
data_Ce2OsI2
_chemical_formula_sum 'Ce2 Os1 I2'
_cell_length_a 4.133
_cell_length_b 4.133
_cell_length_c 12.044
_cell_angle_alpha 81.19
_cell_angle_beta 80.12
_cell_angle_gamma 60.00
_space_group_name_H-M_alt 'P 1'
_space_group_IT_number 1
loop_
_space_group_symop_operation_xyz
'x,y,z'
loop_
_atom_site_label
_atom_site_type_symbol
_atom_site_fract_x
_atom_site_fract_y
_atom_site_fract_z
Ce1 Ce 0.714 0.200 0.371
Ce2 Ce 0.286 0.800 0.629
Os1 Os 0.000 0.500 0.500
I1 I 0.450 0.917 0.183
I2 I 0.550 0.083 0.817

---

No. 10
# PBE Cd2AgHg, optimized geometry
# - size of the total moment (μB per formula unit) = 0.00
# - final energy (eV per cell) = -4.9
# - ρ (g/cm³) = 10.33
# - formation energy (eV/atom) = 0.019
# - N(E_F) (states/eV per atom) = 0.28
data_Cd2AgHg
_chemical_formula_sum 'Cd2 Ag1 Hg1'
_cell_length_a 5.220
_cell_length_b 5.220
_cell_length_c 5.392
_cell_angle_alpha 80.16
_cell_angle_beta 80.16
_cell_angle_gamma 36.41
_space_group_name_H-M_alt 'P 1'
_space_group_IT_number 1
loop_
_space_group_symop_operation_xyz
'x,y,z'
loop_
_atom_site_label
_atom_site_type_symbol
_atom_site_fract_x
_atom_site_fract_y
_atom_site_fract_z
Hg1 Hg 0.497 0.497 0.505
Ag1 Ag 0.747 0.747 0.759
Cd1 Cd 0.004 0.004 0.988
Cd2 Cd 0.252 0.252 0.248

---

No. 11
# PBE Ba2Li5In4, optimized geometry
# - size of the total moment (μB per formula unit) = 0.00
# - final energy (eV per cell) = -26.9
# - ρ (g/cm³) = 3.85
# - formation energy (eV/atom) = -0.229
# - N(E_F) (states/eV per atom) = 0.51
data_Ba2Li5In4
_chemical_formula_sum 'Ba2 Li5 In4'
_cell_length_a 6.112
_cell_length_b 8.137
_cell_length_c 7.960
_cell_angle_alpha 71.52
_cell_angle_beta 67.42
_cell_angle_gamma 67.94
_space_group_name_H-M_alt 'P 1'
_space_group_IT_number 1
loop_
_space_group_symop_operation_xyz
'x,y,z'
loop_
_atom_site_label
_atom_site_type_symbol
_atom_site_fract_x
_atom_site_fract_y
_atom_site_fract_z
Ba1 Ba 0.278 0.785 0.659
Ba2 Ba 0.722 0.215 0.341
Li1 Li 0.201 0.251 0.851
Li2 Li 0.799 0.749 0.149
Li3 Li 0.000 0.500 0.500
Li4 Li 0.697 0.251 0.851
Li5 Li 0.303 0.749 0.149
In1 In 0.383 0.049 0.186
In2 In 0.617 0.951 0.814
In3 In 0.778 0.553 0.891
In4 In 0.222 0.447 0.109

---

No. 12
# PBE Pr5Tl2Ru2, optimized geometry
# - size of the total moment (μB per formula unit) = 0.00
# - final energy (eV per cell) = -98.8
# - ρ (g/cm³) = 8.39
# - formation energy (eV/atom) = -0.244
# - N(E_F) (states/eV per atom) = 0.68
data_Pr5Tl2Ru2
_chemical_formula_sum 'Pr10 Tl4 Ru4'
_cell_length_a 8.001
_cell_length_b 7.749
_cell_length_c 9.249
_cell_angle_alpha 114.77
_cell_angle_beta 90.00
_cell_angle_gamma 90.00
_space_group_name_H-M_alt 'P 1'
_space_group_IT_number 1
loop_
_space_group_symop_operation_xyz
'x,y,z'
loop_
_atom_site_label
_atom_site_type_symbol
_atom_site_fract_x
_atom_site_fract_y
_atom_site_fract_z
Pr1 Pr 0.000 0.000 0.000
Pr2 Pr 0.500 0.500 0.000
Pr3 Pr 0.829 0.787 0.233
Pr4 Pr 0.171 0.446 0.233
Pr5 Pr 0.329 0.946 0.233
Pr6 Pr 0.671 0.287 0.233
Pr7 Pr 0.171 0.213 0.767
Pr8 Pr 0.829 0.554 0.767
Pr9 Pr 0.671 0.054 0.767
Pr10 Pr 0.329 0.713 0.767
Tl1 Tl 0.000 0.219 0.439
Tl2 Tl 0.500 0.719 0.439
Tl3 Tl 0.000 0.781 0.561
Tl4 Tl 0.500 0.281 0.561
Ru1 Ru 0.630 0.874 0.000
Ru2 Ru 0.370 0.126 0.000
Ru3 Ru 0.130 0.626 0.000
Ru4 Ru 0.870 0.374 0.000

---

No. 13
# PBE CaSnSb2, optimized geometry
# - size of the total moment (μB per formula unit) = 0.00
# - final energy (eV per cell) = -32.0
# - ρ (g/cm³) = 5.69
# - energy relative to the elements, uncorrected (eV per atom) = -0.433
# - N(E_F) (states/eV per atom) = 0.31
data_CaSnSb2
_chemical_formula_sum 'Ca2 Sn2 Sb4'
_cell_length_a 6.758
_cell_length_b 6.758
_cell_length_c 6.758
_cell_angle_alpha 63.25
_cell_angle_beta 74.04
_cell_angle_gamma 105.96
_space_group_name_H-M_alt 'P 1'
_space_group_IT_number 1
loop_
_space_group_symop_operation_xyz
'x,y,z'
loop_
_atom_site_label
_atom_site_type_symbol
_atom_site_fract_x
_atom_site_fract_y
_atom_site_fract_z
Ca1 Ca 0.000 0.250 0.750
Ca2 Ca 0.000 0.750 0.250
Sn1 Sn 0.500 0.250 0.250
Sn2 Sn 0.500 0.750 0.750
Sb1 Sb 0.500 0.296 0.796
Sb2 Sb 0.091 0.796 0.704
Sb3 Sb 0.909 0.204 0.296
Sb4 Sb 0.500 0.704 0.204